LaY2Ru2 | PBE | optimized geometry

Cell: 4.9364 4.9364 10.6409 Å, 90.00 90.00 90.00°
With the nearest neighbours (Å) after each atom.
Fractional positions:
1 La 0.0000 0.0000 0.0000  8 Ru 3.63, 10 Y 3.70-3.85
2 La 0.5000 0.5000 0.5000  8 Ru 3.63, 10 Y 3.70-3.85
3 Y 0.0000 0.0000 0.3479  4 Ru 2.68
4 Y 0.0000 0.0000 0.6521  4 Ru 2.68
5 Y 0.5000 0.5000 0.1521  4 Ru 2.68
6 Y 0.5000 0.5000 0.8479  4 Ru 2.68
7 Ru 0.0000 0.5000 0.2500  4 Y 2.68
8 Ru 0.0000 0.5000 0.7500  4 Y 2.68
9 Ru 0.5000 0.0000 0.2500  4 Y 2.68
10 Ru 0.5000 0.0000 0.7500  4 Y 2.68

* M_tot: 0.0 μB per formula unit
* calculated total energy: -71.7 eV/cell
* N(E_F): 7.722 states/eV/cell
* mass density: 6.6 g/cm³